# 1
DFT (PBE) results for AcSm6Y2 after structural relaxation.

Summary:
**E above lowest polymorph**: 0.00 kcal/mol of atoms
**Theoretical density**: 7.02 g cm⁻³
**E**: -4.978 eV/atom

Structure (CIF):
```
data_AcSm6Y2
_chemical_formula_sum 'Ac2 Sm12 Y4'
_space_group_name_H-M_alt 'P 1'
_space_group_IT_number 1
_space_group_name_Hall 'P 1'
_cell_length_a 5.7903
_cell_length_b 12.1458
_cell_length_c 12.1457
_cell_angle_alpha 48.57
_cell_angle_beta 103.77
_cell_angle_gamma 103.77
loop_
_atom_site_label
_atom_site_type_symbol
_atom_site_fract_x
_atom_site_fract_y
_atom_site_fract_z
_atom_site_occupancy
Y1 Y 0.0010 0.6667 0.8332 1
Y2 Y 0.9990 0.3333 0.1668 1
Y3 Y 0.5010 0.8332 0.6667 1
Y4 Y 0.4990 0.1668 0.3333 1
Sm1 Sm 0.1625 0.8293 0.9962 1
Sm2 Sm 0.6625 0.9962 0.8293 1
Sm3 Sm 0.5812 0.5811 0.0810 1
Sm4 Sm 0.4188 0.4189 0.9190 1
Sm5 Sm 0.8375 0.1707 0.0038 1
Sm6 Sm 0.0812 0.0810 0.5811 1
Sm7 Sm 0.3364 0.6705 0.5039 1
Sm8 Sm 0.8364 0.5039 0.6705 1
Sm9 Sm 0.1636 0.4961 0.3295 1
Sm10 Sm 0.9188 0.9190 0.4189 1
Sm11 Sm 0.3375 0.0038 0.1707 1
Sm12 Sm 0.6636 0.3295 0.4961 1
Ac1 Ac 0.7500 0.7501 0.2499 1
Ac2 Ac 0.2500 0.2499 0.7501 1
```


# 2
DFT (PBE) results for AcSm7Y4 after structural relaxation.

Summary:
**E above lowest polymorph**: 6.19 kcal/mol of atoms
**Theoretical density**: 6.42 g cm⁻³
**E**: -4.975 eV/atom

Structure (CIF):
```
data_AcSm7Y4
_chemical_formula_sum 'Ac1 Sm7 Y4'
_space_group_name_H-M_alt 'P 1'
_space_group_IT_number 1
_space_group_name_Hall 'P 1'
_cell_length_a 6.1553
_cell_length_b 11.5793
_cell_length_c 6.8828
_cell_angle_alpha 83.30
_cell_angle_beta 63.44
_cell_angle_gamma 74.59
loop_
_atom_site_label
_atom_site_type_symbol
_atom_site_fract_x
_atom_site_fract_y
_atom_site_fract_z
_atom_site_occupancy
Y1 Y 0.3702 0.7757 0.4839 1
Y2 Y 0.6298 0.2243 0.5161 1
Y3 Y 0.7451 0.6825 0.8274 1
Y4 Y 0.2549 0.3175 0.1726 1
Sm1 Sm 0.5000 0.0000 0.0000 1
Sm2 Sm 0.9434 0.3379 0.7752 1
Sm3 Sm 0.6299 0.4954 0.2448 1
Sm4 Sm 0.0566 0.6621 0.2248 1
Sm5 Sm 0.3701 0.5046 0.7552 1
Sm6 Sm 0.2146 0.0816 0.4893 1
Sm7 Sm 0.7854 0.9184 0.5107 1
Ac1 Ac 0.0000 0.0000 0.0000 1
```


# 3
DFT (PBE) results for AcSm7Y2 after structural relaxation.

Summary:
**E above lowest polymorph**: 0.00 kcal/mol of atoms
**Theoretical density**: 6.93 g cm⁻³
**E**: -4.927 eV/atom

Structure (CIF):
```
data_AcSm7Y2
_chemical_formula_sum 'Ac1 Sm7 Y2'
_space_group_name_H-M_alt 'P 1'
_space_group_IT_number 1
_space_group_name_Hall 'P 1'
_cell_length_a 6.7773
_cell_length_b 9.2210
_cell_length_c 10.2524
_cell_angle_alpha 140.35
_cell_angle_beta 119.99
_cell_angle_gamma 61.47
loop_
_atom_site_label
_atom_site_type_symbol
_atom_site_fract_x
_atom_site_fract_y
_atom_site_fract_z
_atom_site_occupancy
Y1 Y 0.2171 0.0727 0.4410 1
Y2 Y 0.7829 0.9273 0.5590 1
Sm1 Sm 0.8752 0.4342 0.7777 1
Sm2 Sm 0.2979 0.5119 0.5708 1
Sm3 Sm 0.7021 0.4881 0.4292 1
Sm4 Sm 0.3589 0.0252 0.7957 1
Sm5 Sm 0.1248 0.5658 0.2223 1
Sm6 Sm 0.5000 0.5000 0.0000 1
Sm7 Sm 0.6411 0.9748 0.2043 1
Ac1 Ac 0.0000 0.0000 0.0000 1
```


# 4
DFT (PBE) results for Ac2Sm4Y3 after structural relaxation.

Summary:
**E above lowest polymorph**: 0.00 kcal/mol of atoms
**Theoretical density**: 6.84 g cm⁻³
**E**: -5.120 eV/atom

Structure (CIF):
```
data_Ac2Sm4Y3
_chemical_formula_sum 'Ac2 Sm4 Y3'
_space_group_name_H-M_alt 'P 1'
_space_group_IT_number 1
_space_group_name_Hall 'P 1'
_cell_length_a 5.2392
_cell_length_b 6.3999
_cell_length_c 11.0389
_cell_angle_alpha 73.50
_cell_angle_beta 90.00
_cell_angle_gamma 65.84
loop_
_atom_site_label
_atom_site_type_symbol
_atom_site_fract_x
_atom_site_fract_y
_atom_site_fract_z
_atom_site_occupancy
Sm1 Sm 0.0004 0.9991 0.3370 1
Sm2 Sm 0.6662 0.6676 0.8877 1
Sm3 Sm 0.3338 0.3324 0.1123 1
Sm4 Sm 0.9996 0.0009 0.6630 1
Ac1 Ac 0.3337 0.3327 0.7765 1
Ac2 Ac 0.6663 0.6673 0.2235 1
Y1 Y 0.6635 0.6730 0.5549 1
Y2 Y 0.0000 0.0000 0.0000 1
Y3 Y 0.3365 0.3270 0.4451 1
```


# 5
DFT (PBE) results for Ac6Sm2Y5 after structural relaxation.

Summary:
**Theoretical density**: 6.88 g cm⁻³
**E**: -4.935 eV/atom

Structure (CIF):
```
data_Ac6Sm2Y5
_chemical_formula_sum 'Ac12 Sm4 Y10'
_space_group_name_H-M_alt 'P 1'
_space_group_IT_number 1
_space_group_name_Hall 'P 1'
_cell_length_a 3.7551
_cell_length_b 11.4254
_cell_length_c 23.7139
_cell_angle_alpha 90.00
_cell_angle_beta 90.00
_cell_angle_gamma 90.00
loop_
_atom_site_label
_atom_site_type_symbol
_atom_site_fract_x
_atom_site_fract_y
_atom_site_fract_z
_atom_site_occupancy
Ac1 Ac 0.0000 0.5252 0.3884 1
Ac2 Ac 0.0000 0.4748 0.6116 1
Ac3 Ac 0.0000 0.9748 0.8884 1
Ac4 Ac 0.5000 0.3364 0.1333 1
Ac5 Ac 0.5000 0.6636 0.8667 1
Ac6 Ac 0.0000 0.0252 0.1116 1
Ac7 Ac 0.5000 0.1636 0.6333 1
Ac8 Ac 0.0000 0.8525 0.6136 1
Ac9 Ac 0.0000 0.3525 0.8864 1
Ac10 Ac 0.5000 0.8364 0.3667 1
Ac11 Ac 0.0000 0.1475 0.3864 1
Ac12 Ac 0.0000 0.6475 0.1136 1
Y1 Y 0.5000 0.5890 0.2501 1
Y2 Y 0.5000 0.4110 0.7499 1
Y3 Y 0.5000 0.1654 0.9946 1
Y4 Y 0.5000 0.0890 0.2499 1
Y5 Y 0.5000 0.6654 0.5054 1
Y6 Y 0.5000 0.9110 0.7501 1
Y7 Y 0.5000 0.0000 0.5000 1
Y8 Y 0.5000 0.8346 0.0054 1
Y9 Y 0.5000 0.3346 0.4946 1
Y10 Y 0.5000 0.5000 0.0000 1
Sm1 Sm 0.0000 0.6611 0.7298 1
Sm2 Sm 0.0000 0.1611 0.7702 1
Sm3 Sm 0.0000 0.8389 0.2298 1
Sm4 Sm 0.0000 0.3389 0.2702 1
```


# 6
DFT (PBE) results for AcSm4Y7 after structural relaxation.

Summary:
**E above lowest polymorph**: 6.59 kcal/mol of atoms
**Theoretical density**: 5.69 g cm⁻³
**E**: -5.385 eV/atom

Structure (CIF):
```
data_AcSm4Y7
_chemical_formula_sum 'Ac1 Sm4 Y7'
_space_group_name_H-M_alt 'P 1'
_space_group_IT_number 1
_space_group_name_Hall 'P 1'
_cell_length_a 6.0934
_cell_length_b 11.6326
_cell_length_c 6.8965
_cell_angle_alpha 82.63
_cell_angle_beta 63.78
_cell_angle_gamma 74.82
loop_
_atom_site_label
_atom_site_type_symbol
_atom_site_fract_x
_atom_site_fract_y
_atom_site_fract_z
_atom_site_occupancy
Sm1 Sm 0.2578 0.3156 0.1687 1
Sm2 Sm 0.3711 0.7755 0.4823 1
Sm3 Sm 0.7422 0.6844 0.8313 1
Sm4 Sm 0.6289 0.2245 0.5177 1
Y1 Y 0.7844 0.9201 0.5111 1
Y2 Y 0.6365 0.4919 0.2351 1
Y3 Y 0.5000 0.0000 0.0000 1
Y4 Y 0.2156 0.0799 0.4889 1
Y5 Y 0.3635 0.5081 0.7649 1
Y6 Y 0.9495 0.3456 0.7553 1
Y7 Y 0.0505 0.6544 0.2447 1
Ac1 Ac 0.0000 0.0000 0.0000 1
```


# 7
DFT (PBE) results for Ac2Sm7Y3 after structural relaxation.

Summary:
**Theoretical density**: 6.94 g cm⁻³
**E**: -4.965 eV/atom

Structure (CIF):
```
data_Ac2Sm7Y3
_chemical_formula_sum 'Ac2 Sm7 Y3'
_space_group_name_H-M_alt 'P 1'
_space_group_IT_number 1
_space_group_name_Hall 'P 1'
_cell_length_a 3.6391
_cell_length_b 6.4953
_cell_length_c 18.5117
_cell_angle_alpha 104.21
_cell_angle_beta 90.00
_cell_angle_gamma 90.00
loop_
_atom_site_label
_atom_site_type_symbol
_atom_site_fract_x
_atom_site_fract_y
_atom_site_fract_z
_atom_site_occupancy
Ac1 Ac 0.5000 0.3869 0.3274 1
Ac2 Ac 0.5000 0.6131 0.6726 1
Y1 Y 0.5000 0.5000 0.0000 1
Y2 Y 0.0000 0.1105 0.6598 1
Y3 Y 0.0000 0.8895 0.3402 1
Sm1 Sm 0.0000 0.5609 0.8400 1
Sm2 Sm 0.0000 0.4391 0.1600 1
Sm3 Sm 0.5000 0.7635 0.5020 1
Sm4 Sm 0.5000 0.9346 0.1642 1
Sm5 Sm 0.5000 0.0654 0.8358 1
Sm6 Sm 0.5000 0.2365 0.4980 1
Sm7 Sm 0.0000 0.0000 0.0000 1
```


# 8
DFT (PBE) results for AcSm5Y6 after structural relaxation.

Summary:
**Theoretical density**: 6.21 g cm⁻³
**E**: -5.517 eV/atom

Structure (CIF):
```
data_AcSm5Y6
_chemical_formula_sum 'Ac1 Sm5 Y6'
_space_group_name_H-M_alt 'P 1'
_space_group_IT_number 1
_space_group_name_Hall 'P 1'
_cell_length_a 6.2890
_cell_length_b 8.0979
_cell_length_c 8.0979
_cell_angle_alpha 84.65
_cell_angle_beta 97.52
_cell_angle_gamma 97.52
loop_
_atom_site_label
_atom_site_type_symbol
_atom_site_fract_x
_atom_site_fract_y
_atom_site_fract_z
_atom_site_occupancy
Y1 Y 0.2504 0.4197 0.0843 1
Y2 Y 0.7466 0.2516 0.2516 1
Y3 Y 0.7496 0.9157 0.5803 1
Y4 Y 0.2534 0.7484 0.7484 1
Y5 Y 0.7496 0.5803 0.9157 1
Y6 Y 0.2504 0.0843 0.4197 1
Sm1 Sm 0.0000 0.3361 0.6639 1
Sm2 Sm 0.0000 0.6639 0.3361 1
Sm3 Sm 0.5000 0.1706 0.8294 1
Sm4 Sm 0.5000 0.8294 0.1706 1
Sm5 Sm 0.5000 0.5000 0.5000 1
Ac1 Ac 0.0000 0.0000 0.0000 1
```


# 9
DFT (PBE) results for Ac15Sm4Y after structural relaxation.

Summary:
**Theoretical density**: 8.10 g cm⁻³
**E**: -4.321 eV/atom

Structure (CIF):
```
data_Ac15Sm4Y
_chemical_formula_sum 'Ac15 Sm4 Y1'
_space_group_name_H-M_alt 'P 1'
_space_group_IT_number 1
_space_group_name_Hall 'P 1'
_cell_length_a 5.5264
_cell_length_b 5.5264
_cell_length_c 27.4869
_cell_angle_alpha 90.00
_cell_angle_beta 90.00
_cell_angle_gamma 90.00
loop_
_atom_site_label
_atom_site_type_symbol
_atom_site_fract_x
_atom_site_fract_y
_atom_site_fract_z
_atom_site_occupancy
Ac1 Ac 0.0000 0.5000 0.5000 1
Ac2 Ac 0.5000 0.5000 0.8002 1
Ac3 Ac 0.5000 0.0000 0.7001 1
Ac4 Ac 0.5000 0.0000 0.2999 1
Ac5 Ac 0.5000 0.5000 0.0000 1
Ac6 Ac 0.5000 0.0000 0.0996 1
Ac7 Ac 0.0000 0.5000 0.0996 1
Ac8 Ac 0.5000 0.5000 0.6000 1
Ac9 Ac 0.5000 0.0000 0.9004 1
Ac10 Ac 0.5000 0.0000 0.5000 1
Ac11 Ac 0.0000 0.5000 0.9004 1
Ac12 Ac 0.0000 0.5000 0.7001 1
Ac13 Ac 0.0000 0.5000 0.2999 1
Ac14 Ac 0.5000 0.5000 0.1998 1
Ac15 Ac 0.5000 0.5000 0.4000 1
Sm1 Sm 0.0000 0.0000 0.6000 1
Sm2 Sm 0.0000 0.0000 0.4000 1
Sm3 Sm 0.0000 0.0000 0.1996 1
Sm4 Sm 0.0000 0.0000 0.8004 1
Y1 Y 0.0000 0.0000 0.0000 1
```


The lowest E belongs to which entry?
AcSm5Y6


Which value of theoretical density does entry 8 give?
6.21 g cm⁻³


Which value of theoretical density does entry 7 give?
6.94 g cm⁻³


Among the records above, which one has the lowest E?
AcSm5Y6